No. 1
First-principles (PBE-GGA) data for a relaxed In5Pb3F12 crystal, as listed in Alexandria.

Output
Uncorrected formation energy = -1912 meV per atom
Space group = No. 230

Cell: 12.7764 12.7764 12.7764 Å, 109.47 109.47 109.47°
Fractional coordinates of all 80 atoms:
F1 0.8660 0.2721 0.4407
In1 0.6250 0.7500 0.8750
F2 0.2279 0.5593 0.6340
Pb1 0.6250 0.3750 0.7500
In2 0.0000 0.5000 0.0000
Pb2 0.3750 0.6250 0.2500
F3 0.1340 0.7279 0.5593
In3 0.2500 0.3750 0.6250
In4 0.8750 0.6250 0.7500
F4 0.1340 0.4061 0.0747
F5 0.6340 0.5747 0.9061
F6 0.3314 0.7721 0.4061
In5 0.5000 0.0000 0.0000
F7 0.7721 0.3314 0.9061
Pb3 0.1250 0.8750 0.7500
In6 0.8750 0.2500 0.6250
In7 0.5000 0.5000 0.0000
In8 0.2500 0.8750 0.1250
In9 0.7500 0.6250 0.3750
F8 0.4253 0.3660 0.5939
In10 0.7500 0.1250 0.8750
F9 0.4061 0.1340 0.5747
Pb4 0.2500 0.1250 0.3750
F10 0.6340 0.0593 0.2279
F11 0.5747 0.9407 0.6686
F12 0.3660 0.9407 0.7721
Pb5 0.8750 0.1250 0.2500
F13 0.3314 0.5593 0.4253
Pb6 0.7500 0.3750 0.1250
In11 0.1250 0.7500 0.3750
F14 0.6686 0.2279 0.5939
F15 0.0747 0.9061 0.1340
F16 0.9253 0.0939 0.8660
F17 0.9407 0.5747 0.1686
In12 0.3750 0.1250 0.7500
Pb7 0.1250 0.2500 0.8750
F18 0.9253 0.8314 0.5593
F19 0.6686 0.4407 0.5747
Pb8 0.2500 0.6250 0.8750
F20 0.1686 0.0939 0.7279
F21 0.5939 0.8660 0.4253
F22 0.7721 0.4407 0.3660
Pb9 0.7500 0.8750 0.6250
In13 0.0000 0.5000 0.5000
F23 0.4253 0.0593 0.3314
F24 0.5593 0.3314 0.9253
F25 0.2721 0.8660 0.9407
Pb10 0.6250 0.2500 0.3750
F26 0.2721 0.4061 0.8314
F27 0.0939 0.1686 0.2279
F28 0.1686 0.0747 0.9407
F29 0.7279 0.1340 0.0593
F30 0.3660 0.4253 0.0939
In14 0.6250 0.8750 0.2500
F31 0.8314 0.9253 0.0593
F32 0.4407 0.7721 0.8660
In15 0.1250 0.3750 0.2500
F33 0.8314 0.9061 0.2721
Pb11 0.8750 0.7500 0.1250
F34 0.9061 0.8314 0.7721
F35 0.8660 0.5939 0.9253
F36 0.0593 0.4253 0.8314
F37 0.5747 0.6340 0.4061
F38 0.4407 0.6686 0.0747
F39 0.4061 0.2721 0.3314
Pb12 0.3750 0.7500 0.6250
F40 0.7279 0.5939 0.1686
In16 0.3750 0.2500 0.1250
In17 0.0000 0.0000 0.5000
F41 0.5939 0.7279 0.6686
In18 0.0000 0.0000 0.0000
In19 0.5000 0.5000 0.5000
F42 0.0593 0.6340 0.7279
F43 0.5593 0.2279 0.1340
F44 0.0747 0.1686 0.4407
F45 0.0939 0.9253 0.3660
In20 0.5000 0.0000 0.5000
F46 0.2279 0.6686 0.0939
F47 0.9061 0.0747 0.6340
F48 0.9407 0.3660 0.2721



No. 2
First-principles (PBE-GGA) data for a relaxed InPb2F crystal, as listed in Alexandria.

Output
Energy above the lowest structure with this stoichiometry = 39.9 meV/atom
Uncorrected formation energy = -544 meV per atom
Space group = No. 122

Cell: 5.5271 5.5271 8.9824 Å, 72.08 72.08 90.00°
Fractional coordinates of all 8 atoms:
Pb1 0.8750 0.7738 0.7500
F1 0.2500 0.7500 0.5000
F2 0.5000 0.5000 0.0000
In1 0.7500 0.2500 0.5000
Pb2 0.5238 0.1250 0.2500
Pb3 0.2262 0.6250 0.2500
In2 0.0000 0.0000 0.0000
Pb4 0.3750 0.4762 0.7500



Q: Which value of uncorrected formation energy does entry 2 give?
A: -544 meV per atom



Q: uncorrected formation energy of number 1 (In5Pb3F12)?
A: -1912 meV per atom



Q: uncorrected formation energy of number 2 (InPb2F)?
A: -544 meV per atom



Please write out number 1 again, unchanged.
First-principles (PBE-GGA) data for a relaxed In5Pb3F12 crystal, as listed in Alexandria.

Output
Uncorrected formation energy = -1912 meV per atom
Space group = No. 230

Cell: 12.7764 12.7764 12.7764 Å, 109.47 109.47 109.47°
Fractional coordinates of all 80 atoms:
F1 0.8660 0.2721 0.4407
In1 0.6250 0.7500 0.8750
F2 0.2279 0.5593 0.6340
Pb1 0.6250 0.3750 0.7500
In2 0.0000 0.5000 0.0000
Pb2 0.3750 0.6250 0.2500
F3 0.1340 0.7279 0.5593
In3 0.2500 0.3750 0.6250
In4 0.8750 0.6250 0.7500
F4 0.1340 0.4061 0.0747
F5 0.6340 0.5747 0.9061
F6 0.3314 0.7721 0.4061
In5 0.5000 0.0000 0.0000
F7 0.7721 0.3314 0.9061
Pb3 0.1250 0.8750 0.7500
In6 0.8750 0.2500 0.6250
In7 0.5000 0.5000 0.0000
In8 0.2500 0.8750 0.1250
In9 0.7500 0.6250 0.3750
F8 0.4253 0.3660 0.5939
In10 0.7500 0.1250 0.8750
F9 0.4061 0.1340 0.5747
Pb4 0.2500 0.1250 0.3750
F10 0.6340 0.0593 0.2279
F11 0.5747 0.9407 0.6686
F12 0.3660 0.9407 0.7721
Pb5 0.8750 0.1250 0.2500
F13 0.3314 0.5593 0.4253
Pb6 0.7500 0.3750 0.1250
In11 0.1250 0.7500 0.3750
F14 0.6686 0.2279 0.5939
F15 0.0747 0.9061 0.1340
F16 0.9253 0.0939 0.8660
F17 0.9407 0.5747 0.1686
In12 0.3750 0.1250 0.7500
Pb7 0.1250 0.2500 0.8750
F18 0.9253 0.8314 0.5593
F19 0.6686 0.4407 0.5747
Pb8 0.2500 0.6250 0.8750
F20 0.1686 0.0939 0.7279
F21 0.5939 0.8660 0.4253
F22 0.7721 0.4407 0.3660
Pb9 0.7500 0.8750 0.6250
In13 0.0000 0.5000 0.5000
F23 0.4253 0.0593 0.3314
F24 0.5593 0.3314 0.9253
F25 0.2721 0.8660 0.9407
Pb10 0.6250 0.2500 0.3750
F26 0.2721 0.4061 0.8314
F27 0.0939 0.1686 0.2279
F28 0.1686 0.0747 0.9407
F29 0.7279 0.1340 0.0593
F30 0.3660 0.4253 0.0939
In14 0.6250 0.8750 0.2500
F31 0.8314 0.9253 0.0593
F32 0.4407 0.7721 0.8660
In15 0.1250 0.3750 0.2500
F33 0.8314 0.9061 0.2721
Pb11 0.8750 0.7500 0.1250
F34 0.9061 0.8314 0.7721
F35 0.8660 0.5939 0.9253
F36 0.0593 0.4253 0.8314
F37 0.5747 0.6340 0.4061
F38 0.4407 0.6686 0.0747
F39 0.4061 0.2721 0.3314
Pb12 0.3750 0.7500 0.6250
F40 0.7279 0.5939 0.1686
In16 0.3750 0.2500 0.1250
In17 0.0000 0.0000 0.5000
F41 0.5939 0.7279 0.6686
In18 0.0000 0.0000 0.0000
In19 0.5000 0.5000 0.5000
F42 0.0593 0.6340 0.7279
F43 0.5593 0.2279 0.1340
F44 0.0747 0.1686 0.4407
F45 0.0939 0.9253 0.3660
In20 0.5000 0.0000 0.5000
F46 0.2279 0.6686 0.0939
F47 0.9061 0.0747 0.6340
F48 0.9407 0.3660 0.2721